Crystalline Ca2P4Pb at its relaxed geometry. Source: Alexandria, functional GGA-PBE.

a = 8.530 Å, b = 10.930 Å, c = 3.456 Å
α = 90.00°, β = 90.00°, γ = 90.00°
Element x y z (fractional)
Ca  0.150  0.149  0.000
Ca  0.350  0.649  0.000
Ca  0.650  0.351  0.000
Ca  0.850  0.851  0.000
P  0.106  0.769  0.500
P  0.207  0.885  0.000
P  0.293  0.385  0.000
P  0.394  0.269  0.500
P  0.606  0.731  0.500
P  0.707  0.615  0.000
P  0.793  0.115  0.000
P  0.894  0.231  0.500
Pb  0.000  0.500  0.500
Pb  0.500  0.000  0.500

Results
- E_form: -0.481 eV per atom
- SG: No. 55
- Total magnetization: 0.0 μB per formula unit
- ρ: 4.2 Mg/m³



Crystalline NbNO2F at its relaxed geometry. Source: Alexandria, functional GGA-PBE.

a = 3.626 Å, b = 3.626 Å, c = 3.586 Å
α = 90.00°, β = 90.00°, γ = 90.00°
Element x y z (fractional)
Nb  0.000  0.000  0.000
N  0.500  0.500  0.000
O  0.000  0.500  0.500
O  0.500  0.000  0.500
F  0.500  0.500  0.500

Results
- SG: No. 123
- Total magnetization: 0.1 μB per formula unit
- ρ: 5.6 Mg/m³
- Formation energy without anion corrections: 383 kJ/mol of formula units



Crystalline BeFe2I8 at its relaxed geometry. Source: Alexandria, functional GGA-PBE.

a = 8.647 Å, b = 8.647 Å, c = 6.763 Å
α = 90.57°, β = 90.57°, γ = 72.12°
Element x y z (fractional)
Be  0.000  0.000  0.000
Fe  0.178  0.178  0.390
Fe  0.822  0.822  0.610
I  0.108  0.730  0.775
I  0.169  0.169  0.768
I  0.270  0.892  0.225
I  0.351  0.351  0.304
I  0.649  0.649  0.696
I  0.730  0.108  0.775
I  0.831  0.831  0.232
I  0.892  0.270  0.225

Results
- SG: No. 12
- Total magnetization: 10.0 μB per formula unit
- ρ: 3.9 Mg/m³
- Formation energy without anion corrections: -170 kJ/mol of formula units